This record from Alexandria via LeMat-Bulk describes Ac3Sm2YTe6 after structural relaxation. The functional is PBE.

The structure in POSCAR format:
```
Ac3Sm2YTe6
1.0
4.5101 0.0000 0.0000
0.0000 9.2872 0.1676
-2.2550 -2.8470 9.6446
Y Te Ac Sm
1 6 3 2
Cartesian
2.2550 0.0000 0.0000
0.0000 6.4882 6.7150
0.0000 2.1551 0.1093
2.2550 4.3456 3.3847
0.0000 2.0946 6.4275
2.2550 4.2850 9.7029
2.2550 -0.0480 3.0972
2.2550 4.6436 0.0838
2.2550 -0.3460 6.4222
0.0000 6.7861 3.3901
0.0000 2.1538 3.2882
2.2550 4.2864 6.5241
```

Computed properties:
The value obtained for the formation energy (no corrections) is -1.4212 eV/atom. The size of the total moment comes out at 0.00 Bohr magnetons per cell.

---

This record from Alexandria via LeMat-Bulk describes Ac2Sm3YTe6 after structural relaxation. The functional is PBE.

The structure in POSCAR format:
```
Ac2Sm3YTe6
1.0
-1.3546 4.0669 -1.3666
-7.0655 -0.4118 5.7785
7.7470 2.1501 6.1252
Te Sm Y Ac
6 3 1 2
Cartesian
1.9140 2.6577 6.0121
-2.5872 3.1474 4.5251
1.1233 3.3591 1.4769
-1.7964 2.4461 9.0603
-5.2590 -0.2534 4.4589
4.5858 6.0586 6.0783
-4.2101 1.8276 2.2060
2.8016 4.7035 3.8141
-3.4748 1.1017 6.7230
-0.6773 2.0334 -0.6833
-0.0138 1.2488 3.7301
-0.6594 4.5564 6.8071
```

Computed properties:
The value obtained for the formation energy (no corrections) is -1.3914 eV/atom. The size of the total moment comes out at 0.00 Bohr magnetons per cell.

---

This record from Alexandria via LeMat-Bulk describes AcSmYTe3 after structural relaxation. The functional is PBE.

The structure in POSCAR format:
```
AcSmYTe3
1.0
4.4578 0.0000 0.0000
0.0000 8.7819 -0.3625
0.0000 -2.6310 10.6712
Y Sm Te Ac
2 2 6 2
Cartesian
3.3434 6.4437 3.7161
1.1145 -0.2928 6.5926
1.1145 5.5452 0.7598
3.3434 0.6057 9.5490
1.1145 -1.5296 9.4801
3.3434 3.7237 2.0393
1.1145 5.4336 5.5046
3.3434 7.6805 0.8286
1.1145 2.4272 8.2694
3.3434 0.7173 4.8042
1.1145 1.1019 2.2707
3.3434 5.0491 8.0381
```

Computed properties:
The value obtained for the formation energy (no corrections) is -1.3016 eV/atom. The size of the total moment comes out at 0.00 Bohr magnetons per cell.

---

This record from Alexandria via LeMat-Bulk describes Ac3SmY2Te6 after structural relaxation. The functional is PBE.

The structure in POSCAR format:
```
Ac3SmY2Te6
1.0
4.4679 0.0000 0.0000
0.0000 9.3206 0.1012
-2.2340 -2.9259 9.6317
Te Y Ac Sm
6 2 3 1
Cartesian
2.2340 4.2817 3.3885
0.0000 2.2016 0.1506
2.2340 -0.0394 3.1593
0.0000 2.1131 6.3444
0.0000 6.4342 6.5736
2.2340 4.1931 9.5823
2.2340 4.2794 6.5064
0.0000 2.1153 3.2265
2.2340 -0.3936 6.4756
0.0000 6.7883 3.2573
2.2340 4.6603 0.0506
2.2340 0.0000 0.0000
```

Computed properties:
The value obtained for the formation energy (no corrections) is -1.4097 eV/atom. The size of the total moment comes out at 0.00 Bohr magnetons per cell.

---

This record from Alexandria via LeMat-Bulk describes AcSm5Th2 after structural relaxation. The functional is PBE.

The structure in POSCAR format:
```
AcSm5Th2
1.0
-2.4723 2.6648 -0.3453
-8.0390 -7.7318 -2.1110
3.8879 2.1307 7.9120
Th Sm Ac
2 5 1
Cartesian
-1.8990 1.1372 3.0664
-4.7244 -4.0735 2.3892
-2.8231 -2.0462 4.4218
-3.8003 -0.8901 1.0339
-7.4411 -4.3919 0.0778
-4.0195 -3.8659 -1.0555
0.8178 1.4556 5.3779
0.0000 0.0000 0.0000
```

Computed properties:
The size of the total moment comes out at 0.00 Bohr magnetons per cell. Its total energy is -41.71 eV/cell.

---

This record from Alexandria via LeMat-Bulk describes AcSm2Th after structural relaxation. The functional is PBE.

The structure in POSCAR format:
```
AcSm2Th
1.0
3.7085 0.0000 0.0000
1.8543 3.2117 0.0000
1.8543 1.0706 12.0322
Th Sm Ac
1 2 1
Cartesian
3.7085 2.1411 0.0007
1.8543 1.0706 9.2190
1.8543 1.0706 2.8226
3.7085 2.1411 6.0060
```

Computed properties:
The size of the total moment comes out at 0.00 Bohr magnetons per cell. Its relative energy among the computed polymorphs is 0.04 eV per formula unit.